# Li4Ti3Co3O12

Li4Ti3Co3O12 at its PBEsol-relaxed geometry (SCAN, the Alexandria database).

Lattice parameters (Å, degrees): 5.9614 7.8108 9.3325 81.21 78.08 77.41
Closest atoms and distances in Å follow each position.
Fractional positions:
1 Li 0.6495 0.5836 0.7524  6 O 2.02-2.23
2 Li 0.7055 0.0710 0.2391  4 O 2.01-2.17
3 Li 0.6402 0.3388 0.9971  5 O 2.00-2.16
4 Li 0.6839 0.8321 0.4912  6 O 2.04-2.25
5 Li 0.0794 0.7915 0.0764  4 O 1.81-2.00
6 Li 0.0004 0.2403 0.7499  5 O 2.00-2.18
7 Li 0.0326 0.4997 0.4798  4 O 1.99-2.18
8 Li 0.3296 0.9126 0.7559  6 O 2.06-2.21
9 Ti 0.1484 0.5698 0.7676  6 O 1.88-2.10
10 Ti 0.2056 0.0891 0.2668  6 O 1.89-2.11
11 Ti 0.8508 0.4096 0.2382  6 O 1.89-2.06
12 Ti 0.8349 0.9154 0.7632  6 O 1.91-2.04
13 Ti 0.5134 0.7362 0.2366  6 O 1.91-2.09
14 Ti 0.4980 0.2476 0.7248  6 O 1.90-2.06
15 Co 0.1672 0.3307 0.9943  4 O 1.92-1.95
16 Co 0.8439 0.1668 0.5011  6 O 1.89-1.95
17 Co 0.5070 0.4979 0.4998  6 O 1.91-1.95
18 Co 0.1753 0.8328 0.5045  6 O 1.89-1.94
19 Co 0.8214 0.6606 0.9873  6 O 1.89-2.11
20 Co 0.5093 0.9985 0.9969  6 O 1.90-1.93
21 O 0.7318 0.8721 0.1182  1 Ti 1.92, 2 Co 1.93-2.11, 2 Li 2.00-2.02
22 O 0.7436 0.3687 0.6122  2 Co 1.94, 1 Ti 1.95
23 O 0.5858 0.8022 0.8804  2 Co 1.93-1.94, 1 Ti 1.95, 2 Li 2.07-2.15
24 O 0.6224 0.3001 0.3883  2 Co 1.89-1.92, 1 Ti 1.97
25 O 0.7354 0.6118 0.3699  1 Co 1.91, 2 Ti 2.00-2.06
26 O 0.7281 0.1229 0.8629  2 Ti 1.91-2.06, 1 Co 1.93, 1 Li 2.06
27 O 0.6046 0.5361 0.1288  2 Ti 1.91-1.96, 1 Co 1.95, 1 Li 2.06
28 O 0.6150 0.0400 0.6256  2 Ti 1.92-2.02, 1 Co 1.94, 1 Li 2.12
29 O 0.9057 0.4509 0.8615  1 Ti 1.88, 3 Li 2.00-2.08, 1 Co 2.07
30 O 0.9489 0.9714 0.3897  2 Co 1.90-1.94, 1 Ti 2.02, 1 Li 2.10
31 O 0.4318 0.1826 0.1201  1 Ti 1.89, 1 Co 1.90, 2 Li 2.00-2.12
32 O 0.3982 0.6937 0.6197  2 Co 1.92-1.95, 1 Li 2.10, 1 Ti 2.10
33 O 0.9524 0.2082 0.1361  2 Ti 1.89-2.11, 1 Co 1.94, 1 Li 2.01
34 O 0.9379 0.7177 0.6308  1 Co 1.93, 2 Ti 2.03-2.04, 1 Li 2.16
35 O 0.4039 0.4390 0.8620  1 Co 1.93, 2 Ti 1.93-2.03, 2 Li 2.03-2.05
36 O 0.4202 0.9362 0.3759  2 Ti 1.90-2.09, 1 Co 1.93, 1 Li 2.04
37 O 0.0703 0.7815 0.8698  2 Ti 1.92-1.96, 2 Li 1.95-2.06, 1 Co 1.98
38 O 0.0693 0.2888 0.3730  2 Ti 1.91-1.99, 1 Co 1.92, 1 Li 2.00
39 O 0.2601 0.3878 0.6254  2 Ti 1.90-2.01, 1 Co 1.95, 1 Li 2.08
40 O 0.2841 0.8936 0.1365  1 Li 1.81, 1 Co 1.90, 2 Ti 1.92-2.01
41 O 0.0548 0.5371 0.0958  2 Co 1.89-1.92, 1 Ti 1.92, 1 Li 2.00
42 O 0.0669 0.0302 0.6218  2 Co 1.94-1.95, 1 Ti 1.97, 2 Li 2.10-2.17
43 O 0.2796 0.6390 0.3923  2 Co 1.89-1.91, 1 Ti 1.98, 1 Li 1.99
44 O 0.2861 0.1304 0.8801  2 Co 1.92-1.95, 1 Ti 1.97, 1 Li 2.14

Properties
Formation energy without anion corrections, eV per atom: -2.402

***

# Fe3Co5

Fe3Co5 at its PBEsol-relaxed geometry (SCAN, the Alexandria database).

Lattice parameters (Å, degrees): 2.4146 4.6501 7.8015 90.00 90.00 101.18
Closest atoms and distances in Å follow each position.
Fractional positions:
1 Co 0.0000 0.0000 0.9977  6 Co 2.37-2.41, 2 Fe 2.39
2 Co 0.7994 0.2456 0.2494  1 Fe 2.36, 7 Co 2.37-2.46
3 Co 0.5000 0.5000 0.4954  4 Fe 2.40-2.44, 6 Co 2.41-2.68
4 Co 0.5000 0.5000 0.0061  8 Co 2.40-2.66, 2 Fe 2.43
5 Co 0.2006 0.7544 0.2494  1 Fe 2.36, 7 Co 2.37-2.46
6 Fe 0.2534 0.7481 0.7511  3 Co 2.39-2.44, 5 Fe 2.39-2.42
7 Fe 0.0000 0.0000 0.4999  4 Co 2.36-2.40, 4 Fe 2.41-2.42
8 Fe 0.7466 0.2519 0.7511  3 Co 2.39-2.44, 5 Fe 2.39-2.42

Properties
Calculated formation energy, eV per atom: -0.07

***

# CaInOs3

CaInOs3 at its PBEsol-relaxed geometry (SCAN, the Alexandria database).

Lattice parameters (Å, degrees): 4.8400 4.8400 4.8400 90.00 90.00 90.00
Closest atoms and distances in Å follow each position.
Fractional positions:
1 Ca 0.5000 0.5000 0.5000  12 Os 3.42
2 Os 0.0000 0.5000 0.0000  2 In 2.42
3 Os 0.0000 0.0000 0.5000  2 In 2.42
4 Os 0.5000 0.0000 0.0000  2 In 2.42
5 In 0.0000 0.0000 0.0000  6 Os 2.42

Properties
Calculated formation energy, eV per atom: 2.26

***

# CoNiRh2

CoNiRh2 at its PBEsol-relaxed geometry (SCAN, the Alexandria database).

Lattice parameters (Å, degrees): 2.5680 4.5458 4.9890 116.63 104.14 91.65
Closest atoms and distances in Å follow each position.
Fractional positions:
1 Co 0.5000 0.0000 0.0000  4 Rh 2.51, 2 Co 2.57, 4 Ni 2.58-2.64
2 Ni 0.0000 0.5000 0.0000  4 Rh 2.51, 2 Ni 2.57, 4 Co 2.58-2.64
3 Rh 0.0000 0.0000 0.5000  2 Co 2.51, 2 Ni 2.51, 6 Rh 2.57-2.64
4 Rh 0.5000 0.5000 0.5000  2 Ni 2.51, 2 Co 2.51, 6 Rh 2.57-2.64

Properties
Calculated formation energy, eV per atom: 0.14
E above lowest polymorph, meV/atom: 135

***

# TaSi3Hg

TaSi3Hg at its PBEsol-relaxed geometry (SCAN, the Alexandria database).

Lattice parameters (Å, degrees): 4.7881 4.7881 4.7881 90.00 90.00 90.00
Closest atoms and distances in Å follow each position.
Fractional positions:
1 Si 0.0000 0.5000 0.0000  2 Hg 2.39
2 Si 0.0000 0.0000 0.5000  2 Hg 2.39
3 Si 0.5000 0.0000 0.0000  2 Hg 2.39
4 Hg 0.0000 0.0000 0.0000  6 Si 2.39
5 Ta 0.5000 0.5000 0.5000  12 Si 3.39

Properties
Formation energy without anion corrections, eV per atom: 1.982

***

# Li4Mo3O8

Li4Mo3O8 at its PBEsol-relaxed geometry (SCAN, the Alexandria database).

Lattice parameters (Å, degrees): 5.6999 5.6999 11.1272 75.16 75.16 60.00
Closest atoms and distances in Å follow each position.
Fractional positions:
1 Li 0.2457 0.2457 0.2628  6 O 2.02-2.05, 1 Li 2.23
2 Li 0.1741 0.1741 0.4776  4 O 1.86-2.03
3 Li 0.8259 0.8259 0.5224  4 O 1.86-2.03
4 Li 0.6845 0.6845 0.9466  4 O 1.82-1.98
5 Li 0.7543 0.7543 0.7372  6 O 2.02-2.05, 1 Li 2.23
6 Li 0.0000 0.0000 0.0000  6 O 2.29
7 Li 0.5000 0.5000 0.5000  6 O 2.14
8 Li 0.3155 0.3155 0.0534  4 O 1.82-1.98
9 Mo 0.7146 0.2681 0.7493  6 O 1.99-2.09
10 Mo 0.7319 0.2854 0.2507  6 O 1.99-2.09
11 Mo 0.2681 0.2681 0.7493  6 O 1.99-2.09
12 Mo 0.2854 0.7319 0.2507  6 O 1.99-2.09
13 Mo 0.7319 0.7319 0.2507  6 O 1.99-2.09
14 Mo 0.2681 0.7146 0.7493  6 O 1.99-2.09
15 O 0.6223 0.1126 0.1524  2 Li 1.98-2.05, 2 Mo 2.02
16 O 0.6201 0.1285 0.6314  2 Mo 1.99, 3 Li 2.02-2.14
17 O 0.8874 0.8874 0.8476  2 Li 1.98-2.05, 2 Mo 2.02
18 O 0.1126 0.6223 0.1524  2 Li 1.98-2.05, 2 Mo 2.02
19 O 0.8842 0.8842 0.3475  1 Li 1.86
20 O 0.3799 0.8715 0.3686  2 Mo 1.99, 3 Li 2.02-2.14
21 O 0.1285 0.6201 0.6314  2 Mo 1.99, 3 Li 2.02-2.14
22 O 0.3799 0.3799 0.3686  2 Mo 1.99, 3 Li 2.02-2.14
23 O 0.6274 0.6274 0.1177  1 Li 1.82
24 O 0.1158 0.1158 0.6525  1 Li 1.86
25 O 0.8874 0.3777 0.8476  2 Li 1.98-2.05, 2 Mo 2.02
26 O 0.8715 0.3799 0.3686  2 Mo 1.99, 3 Li 2.02-2.14
27 O 0.3777 0.8874 0.8476  2 Li 1.98-2.05, 2 Mo 2.02
28 O 0.1126 0.1126 0.1524  2 Li 1.98-2.05, 2 Mo 2.02
29 O 0.3726 0.3726 0.8823  1 Li 1.82
30 O 0.6201 0.6201 0.6314  2 Mo 1.99, 3 Li 2.02-2.14

Properties
Formation energy without anion corrections, eV per atom: -2.217

***

# GeBiPb2Br

GeBiPb2Br at its PBEsol-relaxed geometry (SCAN, the Alexandria database).

Lattice parameters (Å, degrees): 5.1451 5.6489 5.6489 90.00 90.00 90.00
Closest atoms and distances in Å follow each position.
Fractional positions:
1 Pb 0.0000 0.0000 0.5000  2 Br 2.82
2 Pb 0.0000 0.5000 0.0000  2 Br 2.82
3 Ge 0.5000 0.0000 0.0000  2 Br 2.57
4 Bi 0.5000 0.5000 0.5000  8 Pb 3.82, 4 Ge 3.99
5 Br 0.0000 0.0000 0.0000  2 Ge 2.57, 4 Pb 2.82

Properties
Formation energy without anion corrections, eV per atom: 0.620

***

# Nd3BiRu4O14

Nd3BiRu4O14 at its PBEsol-relaxed geometry (SCAN, the Alexandria database).

Lattice parameters (Å, degrees): 7.2473 7.2473 7.2473 60.39 60.39 60.39
Closest atoms and distances in Å follow each position.
Fractional positions:
1 Nd 0.5000 0.0000 0.0000  2 O 2.23
2 Nd 0.0000 0.5000 0.0000  2 O 2.23
3 Nd 0.0000 0.0000 0.5000  2 O 2.23
4 Bi 0.0000 0.0000 0.0000  2 O 2.22
5 Ru 0.5000 0.5000 0.5000  6 O 2.00
6 Ru 0.0000 0.5000 0.5000  6 O 1.98
7 Ru 0.5000 0.0000 0.5000  6 O 1.98
8 Ru 0.5000 0.5000 0.0000  6 O 1.98
9 O 0.4201 0.4201 0.8300  2 Ru 1.98-2.00
10 O 0.4201 0.8300 0.4201  2 Ru 1.98-2.00
11 O 0.8300 0.4201 0.4201  2 Ru 1.98-2.00
12 O 0.8259 0.8259 0.4186  2 Ru 1.98
13 O 0.8259 0.4186 0.8259  2 Ru 1.98
14 O 0.4186 0.8259 0.8259  2 Ru 1.98
15 O 0.5799 0.5799 0.1700  2 Ru 1.98-2.00
16 O 0.5799 0.1700 0.5799  2 Ru 1.98-2.00
17 O 0.1700 0.5799 0.5799  2 Ru 1.98-2.00
18 O 0.1741 0.1741 0.5814  2 Ru 1.98
19 O 0.1741 0.5814 0.1741  2 Ru 1.98
20 O 0.5814 0.1741 0.1741  2 Ru 1.98
21 O 0.1253 0.1253 0.1253  1 Bi 2.22, 3 Nd 2.23
22 O 0.8747 0.8747 0.8747  1 Bi 2.22, 3 Nd 2.23

Properties
Formation energy without anion corrections, eV per atom: -2.085